[1]
VASP calculation (PBE) on an optimized crystal structure of K4Li3NpF12.

Geometry as POSCAR:
```
K4Li3NpF12
1.0
-4.196 4.196 4.196
4.196 -4.196 4.196
4.196 4.196 -4.196
K Li Np F
4 3 1 12
direct
0.000 0.000 0.500 K
0.000 0.500 0.000 K
0.500 0.000 0.000 K
0.500 0.500 0.500 K
0.000 0.500 0.500 Li
0.500 0.000 0.500 Li
0.500 0.500 0.000 Li
0.000 0.000 0.000 Np
0.000 0.248 0.248 F
0.000 0.752 0.752 F
0.248 0.000 0.248 F
0.248 0.248 0.000 F
0.250 0.500 0.750 F
0.250 0.750 0.500 F
0.500 0.250 0.750 F
0.500 0.750 0.250 F
0.750 0.250 0.500 F
0.750 0.500 0.250 F
0.752 0.000 0.752 F
0.752 0.752 0.000 F
```

Properties
SG: Im-3m, No. 229
ΔE_f (raw) in meV/atom: -2850

=====

[2]
VASP calculation (PBE) on an optimized crystal structure of Ta2CdNi.

Geometry as POSCAR:
```
Ta2CdNi
1.0
2.860 0.000 0.000
0.000 2.860 0.000
0.000 0.000 8.191
Ta Cd Ni
2 1 1
direct
0.000 0.000 0.214 Ta
0.000 0.000 0.786 Ta
0.500 0.500 0.500 Cd
0.500 0.500 0.000 Ni
```

Properties
Formation energy in eV per atom: 0.084
SG: P4/mmm, No. 123

=====

[3]
VASP calculation (PBE) on an optimized crystal structure of Ac4PdPb2.

Geometry as POSCAR:
```
Ac4PdPb2
1.0
6.377 -2.474 0.000
6.377 2.474 0.000
-5.041 0.000 8.158
Ac Pd Pb
4 1 2
direct
0.077 0.077 0.356 Ac
0.327 0.327 0.932 Ac
0.673 0.673 0.068 Ac
0.923 0.923 0.644 Ac
0.000 0.000 0.000 Pd
0.361 0.361 0.344 Pb
0.639 0.639 0.656 Pb
```

Properties
Formation energy in eV per atom: -0.533
Energy above the most stable polymorph in this dataset in meV per atom: 0
SG: C2/m, No. 12

=====

[4]
VASP calculation (PBE) on an optimized crystal structure of Np2Cr2P2N.

Geometry as POSCAR:
```
Np2Cr2P2N
1.0
-1.944 1.944 6.933
1.944 -1.944 6.933
1.944 1.944 -6.933
Np Cr P N
2 2 2 1
direct
0.170 0.170 0.000 Np
0.830 0.830 0.000 Np
0.000 0.500 0.500 Cr
0.500 0.000 0.500 Cr
0.384 0.384 0.000 P
0.616 0.616 0.000 P
0.000 0.000 0.000 N
```

Properties
SG: I4/mmm, No. 139
ΔE_f (raw) in meV/atom: -657

=====

[5]
VASP calculation (PBE) on an optimized crystal structure of Mn3AlN.

Geometry as POSCAR:
```
Mn3AlN
1.0
3.771 0.000 0.000
0.000 3.771 0.000
0.000 0.000 3.771
Mn Al N
3 1 1
direct
0.000 0.000 0.500 Mn
0.000 0.500 0.000 Mn
0.500 0.000 0.000 Mn
0.500 0.500 0.500 Al
0.000 0.000 0.000 N
```

Properties
SG: Pm-3m, No. 221
ΔE_f (raw) in meV/atom: -364

=====

[6]
VASP calculation (PBE) on an optimized crystal structure of Cs2Cd2Hg.

Geometry as POSCAR:
```
Cs2Cd2Hg
1.0
-2.183 2.183 11.678
2.183 -2.183 11.678
2.183 2.183 -11.678
Cs Cd Hg
2 2 1
direct
0.106 0.106 0.000 Cs
0.894 0.894 0.000 Cs
0.250 0.750 0.500 Cd
0.750 0.250 0.500 Cd
0.500 0.500 0.000 Hg
```

Properties
Formation energy in eV per atom: -0.063
Energy above the most stable polymorph in this dataset in meV per atom: 40
SG: I4/mmm, No. 139

=====

[7]
VASP calculation (PBE) on an optimized crystal structure of Mg3Ag2Rh.

Geometry as POSCAR:
```
Mg3Ag2Rh
1.0
3.211 0.000 0.000
0.000 3.211 0.000
0.000 0.000 10.087
Mg Ag Rh
3 2 1
direct
0.000 0.000 0.000 Mg
0.000 0.000 0.354 Mg
0.000 0.000 0.646 Mg
0.500 0.500 0.177 Ag
0.500 0.500 0.823 Ag
0.500 0.500 0.500 Rh
```

Properties
Formation energy in eV per atom: -0.344
Energy above the most stable polymorph in this dataset in meV per atom: 0
SG: P4/mmm, No. 123

=====

[8]
VASP calculation (PBE) on an optimized crystal structure of CrSi2Hg.

Geometry as POSCAR:
```
CrSi2Hg
1.0
2.758 0.000 0.000
0.000 3.091 0.000
0.000 0.000 7.783
Cr Si Hg
1 2 1
direct
0.000 0.000 0.000 Cr
0.500 0.500 0.169 Si
0.500 0.500 0.831 Si
0.000 0.500 0.500 Hg
```

Properties
SG: Pmmm, No. 47
ΔE_f (raw) in meV/atom: 196

=====

[9]
VASP calculation (PBE) on an optimized crystal structure of Ni2HgSb.

Geometry as POSCAR:
```
Ni2HgSb
1.0
-1.918 1.918 4.491
1.918 -1.918 4.491
1.918 1.918 -4.491
Ni Hg Sb
2 1 1
direct
0.000 0.000 0.000 Ni
0.750 0.250 0.500 Ni
0.500 0.500 0.000 Hg
0.250 0.750 0.500 Sb
```

Properties
SG: I-4m2, No. 119
ΔE_f (raw) in meV/atom: 211

=====

[10]
VASP calculation (PBE) on an optimized crystal structure of Mg2ScSe.

Geometry as POSCAR:
```
Mg2ScSe
1.0
-4.127 4.127 2.752
4.127 -4.127 2.752
4.127 4.127 -2.752
Mg Sc Se
4 2 2
direct
0.073 0.625 0.948 Mg
0.375 0.323 0.448 Mg
0.677 0.125 0.052 Mg
0.875 0.927 0.552 Mg
0.250 0.750 0.500 Sc
0.500 0.500 0.000 Sc
0.000 0.000 0.000 Se
0.750 0.250 0.500 Se
```

Properties
SG: I-42d, No. 122
ΔE_f (raw) in meV/atom: -412

=====

[11]
VASP calculation (PBE) on an optimized crystal structure of Rb2AsPtBr.

Geometry as POSCAR:
```
Rb2AsPtBr
1.0
6.640 0.000 0.000
0.000 6.640 0.000
0.000 0.000 4.558
Rb As Pt Br
2 1 1 1
direct
0.000 0.500 0.000 Rb
0.500 0.000 0.000 Rb
0.000 0.000 0.500 As
0.000 0.000 0.000 Pt
0.500 0.500 0.500 Br
```

Properties
SG: P4/mmm, No. 123
ΔE_f (raw) in meV/atom: -740

=====

[12]
VASP calculation (PBE) on an optimized crystal structure of Li2LaMgHg4.

Geometry as POSCAR:
```
Li2LaMgHg4
1.0
2.379 1.373 9.322
-2.379 1.373 9.322
0.000 -2.747 9.322
Li La Mg Hg
2 1 1 4
direct
0.233 0.233 0.233 Li
0.767 0.767 0.767 Li
0.000 0.000 0.000 La
0.500 0.500 0.500 Mg
0.125 0.125 0.125 Hg
0.394 0.394 0.394 Hg
0.606 0.606 0.606 Hg
0.875 0.875 0.875 Hg
```

Properties
Formation energy in eV per atom: -0.376
SG: R-3m, No. 166

=====

[13]
VASP calculation (PBE) on an optimized crystal structure of AlV2PbAu.

Geometry as POSCAR:
```
AlV2PbAu
1.0
5.218 0.000 0.000
0.000 5.218 0.000
0.000 0.000 5.202
Al V Pb Au
1 2 1 1
direct
0.000 0.000 0.000 Al
0.000 0.500 0.500 V
0.500 0.000 0.500 V
0.500 0.500 0.500 Pb
0.500 0.500 0.000 Au
```

Properties
Formation energy in eV per atom: 1.483
SG: P4/mmm, No. 123

=====

[14]
VASP calculation (PBE) on an optimized crystal structure of Si4IrAu.

Geometry as POSCAR:
```
Si4IrAu
1.0
0.000 3.571 3.571
3.571 0.000 3.571
3.571 3.571 0.000
Si Ir Au
4 1 1
direct
0.376 0.376 0.376 Si
0.376 0.376 0.873 Si
0.376 0.873 0.376 Si
0.873 0.376 0.376 Si
0.750 0.750 0.750 Ir
0.000 0.000 0.000 Au
```

Properties
SG: F-43m, No. 216
ΔE_f (raw) in meV/atom: 552

=====

[15]
VASP calculation (PBE) on an optimized crystal structure of Ca2Bi2Pb.

Geometry as POSCAR:
```
Ca2Bi2Pb
1.0
5.281 0.000 0.000
-2.641 4.574 0.000
0.000 0.000 14.248
Ca Bi Pb
4 4 2
direct
0.333 0.667 0.096 Ca
0.333 0.667 0.404 Ca
0.667 0.333 0.596 Ca
0.667 0.333 0.904 Ca
0.000 0.000 0.000 Bi
0.000 0.000 0.500 Bi
0.333 0.667 0.750 Bi
0.667 0.333 0.250 Bi
0.000 0.000 0.250 Pb
0.000 0.000 0.750 Pb
```

Properties
Formation energy in eV per atom: -0.512
Energy above the most stable polymorph in this dataset in meV per atom: 57
SG: P6_3/mmc, No. 194